No. 1
Density functional theory data (GGA-PBE) for an optimized crystal structure of Li2MnBe.

Summary:
Spin magnetization ... 1.4 μB/cell
ΔH_f (0 K) ... 1.3 eV/f.u.
Crystal system ... orthorhombic

Unit cell a=2.6045 b=3.9222 c=8.8224 alpha=90.00 beta=90.00 gamma=90.00
Closest atoms and distances in Å follow each position.
Space group Cmmm (No. 65)
One atom of each set of equivalent atoms:
Li  0.0000  0.0000  0.2454 (multiplicity 4)  6 Li 2.35-2.60, 2 Be 2.53, 2 Mn 2.60
Mn  0.0000  0.5000  0.5000 (multiplicity 2)  6 Mn 2.35-2.60, 4 Li 2.60
Be  0.0000  0.5000  0.0000 (multiplicity 2)  6 Be 2.35-2.60, 4 Li 2.53

---

No. 2
Density functional theory data (GGA-PBE) for an optimized crystal structure of PrTmMgTc.

Summary:
Spin magnetization ... 0.0 μB/cell
ΔH_f (0 K) ... 0.2 eV/f.u.
Crystal system ... cubic

Unit cell a=7.2106 b=7.2106 c=7.2106 alpha=90.00 beta=90.00 gamma=90.00
Closest atoms and distances in Å follow each position.
Space group F-43m (No. 216)
One atom of each set of equivalent atoms:
Pr  0.0000  0.0000  0.0000 (multiplicity 4)  4 Tc 3.12, 4 Mg 3.12
Tm  0.0000  0.0000  0.5000 (multiplicity 4)  4 Mg 3.12, 4 Tc 3.12
Mg  0.2500  0.2500  0.7500 (multiplicity 4)  4 Pr 3.12, 4 Tm 3.12
Tc  0.2500  0.2500  0.2500 (multiplicity 4)  4 Tm 3.12, 4 Pr 3.12

---

Question: What is the ΔH_f (0 K) in the first record?
Answer: 1.3 eV/f.u.